Here is Ac3Au5S12 after structural relaxation from Alexandria via LeMat-Bulk. Energies are from PBE.

## Properties
The symmetry is Ia-3d, No. 230. The value obtained for the total energy is -4.535 eV/atom.

Unit cell a=13.703 b=13.703 c=13.703 alpha=109.47 beta=109.47 gamma=109.47
Atoms (fractional coordinates):
Au: 0.375 0.125 0.750
Au: 0.750 0.625 0.375
Au: 0.625 0.750 0.875
Au: 0.625 0.875 0.250
Au: 0.750 0.125 0.875
Au: 0.500 0.500 0.000
Au: 0.375 0.250 0.125
Au: 0.125 0.750 0.375
Au: 0.500 0.500 0.500
Au: 0.000 0.000 0.000
Au: 0.500 0.000 0.000
Au: 0.875 0.625 0.750
Au: 0.250 0.375 0.625
Au: 0.000 0.500 0.500
Au: 0.500 0.000 0.500
Au: 0.875 0.250 0.625
Au: 0.250 0.875 0.125
Au: 0.125 0.375 0.250
Au: 0.000 0.000 0.500
Au: 0.000 0.500 0.000
S: 0.410 0.380 0.581
S: 0.201 0.671 0.081
S: 0.970 0.590 0.171
S: 0.329 0.799 0.419
S: 0.419 0.120 0.590
S: 0.919 0.829 0.799
S: 0.620 0.590 0.919
S: 0.299 0.419 0.829
S: 0.970 0.380 0.299
S: 0.701 0.120 0.030
S: 0.799 0.329 0.919
S: 0.530 0.329 0.910
S: 0.910 0.081 0.880
S: 0.799 0.470 0.380
S: 0.120 0.419 0.090
S: 0.581 0.701 0.671
S: 0.030 0.620 0.701
S: 0.590 0.620 0.419
S: 0.081 0.910 0.380
S: 0.081 0.171 0.201
S: 0.581 0.880 0.410
S: 0.090 0.919 0.120
S: 0.829 0.910 0.030
S: 0.671 0.201 0.581
S: 0.410 0.030 0.329
S: 0.880 0.581 0.910
S: 0.299 0.880 0.970
S: 0.910 0.829 0.530
S: 0.470 0.671 0.090
S: 0.919 0.090 0.620
S: 0.880 0.299 0.470
S: 0.671 0.470 0.590
S: 0.201 0.530 0.620
S: 0.530 0.201 0.120
S: 0.171 0.081 0.701
S: 0.701 0.581 0.171
S: 0.171 0.090 0.970
S: 0.620 0.030 0.201
S: 0.030 0.410 0.829
S: 0.419 0.299 0.329
S: 0.470 0.799 0.880
S: 0.829 0.919 0.299
S: 0.380 0.970 0.799
S: 0.590 0.970 0.671
S: 0.380 0.410 0.081
S: 0.090 0.171 0.470
S: 0.120 0.701 0.530
S: 0.329 0.530 0.410
Ac: 0.875 0.125 0.250
Ac: 0.625 0.375 0.750
Ac: 0.250 0.625 0.875
Ac: 0.125 0.250 0.875
Ac: 0.375 0.625 0.250
Ac: 0.750 0.875 0.625
Ac: 0.750 0.375 0.125
Ac: 0.250 0.125 0.375
Ac: 0.375 0.750 0.625
Ac: 0.125 0.875 0.750
Ac: 0.875 0.750 0.125
Ac: 0.625 0.250 0.375



Here is Ac2AuS4 after structural relaxation from Alexandria via LeMat-Bulk. Energies are from PBE.

## Properties
The symmetry is P2_1/m, No. 11. The value obtained for the total energy is -5.493 eV/atom.

Unit cell a=7.169 b=5.816 c=8.886 alpha=90.00 beta=104.30 gamma=90.00
Atoms (fractional coordinates):
S: 0.536 0.018 0.280
S: 0.058 0.750 0.888
S: 0.464 0.982 0.720
S: 0.536 0.482 0.280
S: 0.930 0.250 0.614
S: 0.070 0.750 0.386
S: 0.464 0.518 0.720
S: 0.942 0.250 0.112
Au: 0.702 0.250 0.874
Au: 0.298 0.750 0.126
Ac: 0.774 0.750 0.574
Ac: 0.226 0.250 0.426
Ac: 0.218 0.250 0.904
Ac: 0.782 0.750 0.096



Here is AcAu2S3 after structural relaxation from Alexandria via LeMat-Bulk. Energies are from PBE.

## Properties
The symmetry is Cmcm, No. 63. The value obtained for the total energy is -4.576 eV/atom.

Unit cell a=5.482 b=7.528 c=7.528 alpha=99.43 beta=90.00 gamma=90.00
Atoms (fractional coordinates):
S: 0.750 0.077 0.923
S: 0.250 0.482 0.148
S: 0.750 0.518 0.852
S: 0.750 0.148 0.482
S: 0.250 0.923 0.077
S: 0.250 0.852 0.518
Au: 0.000 0.314 0.314
Au: 0.000 0.686 0.686
Au: 0.500 0.314 0.314
Au: 0.500 0.686 0.686
Ac: 0.750 0.825 0.175
Ac: 0.250 0.175 0.825



Here is AcAuS2 after structural relaxation from Alexandria via LeMat-Bulk. Energies are from PBE.

## Properties
The symmetry is C2/c, No. 15. Its offset from the most stable computed form is 0.045 eV/atom.

Unit cell a=4.638 b=8.171 c=7.354 alpha=72.34 beta=71.62 gamma=90.00
Atoms (fractional coordinates):
Au: 0.326 0.692 0.032
Au: 0.326 0.192 0.032
S: 0.225 0.808 0.732
S: 0.728 0.308 0.732
S: 0.925 0.077 0.331
S: 0.428 0.577 0.331
Ac: 0.326 0.192 0.532
Ac: 0.826 0.692 0.532



Here is AcAuS after structural relaxation from Alexandria via LeMat-Bulk. Energies are from PBE.

## Properties
The symmetry is F-43m, No. 216. Its offset from the most stable computed form is 0.000 eV/atom.

Unit cell a=5.091 b=5.091 c=5.091 alpha=60.00 beta=60.00 gamma=60.00
Atoms (fractional coordinates):
S: 0.500 0.500 0.500
Ac: 0.250 0.250 0.250
Au: 0.000 0.000 0.000



Here is AcAuS2 after structural relaxation from Alexandria via LeMat-Bulk. Energies are from PBE.

## Properties
The symmetry is R-3m, No. 166. Its offset from the most stable computed form is 0.050 eV/atom.

Unit cell a=4.667 b=4.667 c=7.751 alpha=72.48 beta=72.48 gamma=60.00
Atoms (fractional coordinates):
Au: 0.000 0.000 0.000
S: 0.106 0.106 0.683
S: 0.894 0.894 0.317
Ac: 0.500 0.500 0.500



Here is AcAuS4 after structural relaxation from Alexandria via LeMat-Bulk. Energies are from PBE.

## Properties
The symmetry is C2/m, No. 12. The value obtained for the total energy is -4.642 eV/atom.

Unit cell a=6.284 b=6.104 c=8.979 alpha=109.87 beta=114.96 gamma=90.00
Atoms (fractional coordinates):
S: 0.799 0.272 0.543
S: 0.000 0.169 0.000
S: 0.421 0.693 0.867
S: 0.421 0.174 0.867
S: 0.000 0.831 0.000
S: 0.579 0.307 0.133
S: 0.201 0.728 0.457
S: 0.579 0.826 0.133
Ac: 0.099 0.176 0.351
Ac: 0.901 0.824 0.649
Au: 0.612 0.367 0.734
Au: 0.388 0.633 0.266



Here is AcAuS2 after structural relaxation from Alexandria via LeMat-Bulk. Energies are from PBE.

## Properties
The symmetry is P2_1/c, No. 14. Its offset from the most stable computed form is 0.000 eV/atom.

Unit cell a=8.114 b=8.704 c=7.877 alpha=120.03 beta=90.00 gamma=90.00
Atoms (fractional coordinates):
S: 0.317 0.373 0.382
S: 0.896 0.330 0.760
S: 0.183 0.873 0.882
S: 0.104 0.670 0.240
S: 0.817 0.127 0.118
S: 0.396 0.170 0.740
S: 0.604 0.830 0.260
S: 0.683 0.627 0.618
Ac: 0.118 0.264 0.025
Ac: 0.382 0.764 0.525
Ac: 0.882 0.736 0.975
Ac: 0.618 0.236 0.475
Au: 0.601 0.143 0.933
Au: 0.101 0.357 0.567
Au: 0.399 0.857 0.067
Au: 0.899 0.643 0.433



Number 1: V 1981 Å³/cell. Number 2: V 359 Å³/cell. Number 3: V 306 Å³/cell. Number 4: V 251 Å³/cell. Number 5: V 93 Å³/cell. Number 6: V 137 Å³/cell. Number 7: V 289 Å³/cell. Number 8: V 482 Å³/cell.